The following is a PBE calculation of a geometry-optimized CaCuNiSe2 structure, from the Alexandria database.

a b c (Å): 4.7753 4.9876 4.7753
angles (deg): 90.00 90.00 90.00
With the nearest neighbours (Å) after each atom.
Fractional positions:
Se: 0.5000 0.0000 0.0000  2 Cu 2.39
Se: 0.0000 0.0000 0.5000  2 Cu 2.39
Ca: 0.0000 0.5000 0.0000  2 Cu 2.49
Cu: 0.0000 0.0000 0.0000  4 Se 2.39, 2 Ca 2.49
Ni: 0.5000 0.5000 0.5000  4 Ca 3.38, 8 Se 3.45

Summary:
Density (g cm⁻³): 4.68
Total moment (μB per cell): 0.83
Electronic total energy (eV/atom): -3.45
Fermi-level density of states (states/eV per cell): 4.70